No. 1
4
Lattice="4.850 0.000 0.000 2.425 4.200 0.000 2.425 1.400 3.960" Properties=species:S:1:pos:R:3 comment="CuAgSb2 SCAN PBEsol geometry" raw_formation_energy_mev_per_atom=353 crystal_system=cubic mass_density_g_cm3=8.54 pbc="T T T"
Cu 4.850 2.800 1.980
Ag 0.000 0.000 0.000
Sb 2.425 1.400 0.990
Sb 7.274 4.200 2.970



No. 2
4
Lattice="-1.476 -3.071 3.145 2.680 -3.603 1.158 1.981 -0.163 4.189" Properties=species:S:1:pos:R:3 comment="CuAg2Sb SCAN PBEsol geometry" raw_formation_energy_mev_per_atom=236 crystal_system=cubic mass_density_g_cm3=9.45 pbc="T T T"
Sb 1.592 -3.418 4.246
Ag 0.796 -1.709 2.123
Ag 2.388 -5.128 6.369
Cu 0.000 0.000 0.000



No. 3
3
Lattice="3.525 0.000 0.000 0.000 3.796 0.000 -1.763 -1.898 4.015" Properties=species:S:1:pos:R:3 comment="CuAgSb SCAN PBEsol geometry" raw_formation_energy_mev_per_atom=182 crystal_system=orthorhombic mass_density_g_cm3=9.06 pbc="T T T"
Cu 1.763 1.898 1.337
Ag 1.763 1.898 4.009
Sb 0.000 0.000 2.684



No. 4
6
Lattice="4.923 0.000 0.000 2.461 4.263 0.000 2.461 1.421 4.019" Properties=species:S:1:pos:R:3 comment="Cu4AgSb SCAN PBEsol geometry" raw_formation_energy_mev_per_atom=58 crystal_system=cubic mass_density_g_cm3=9.53 pbc="T T T"
Ag 0.000 0.000 0.000
Cu 3.687 3.555 2.514
Cu 4.923 1.415 2.514
Cu 6.158 3.555 2.514
Cu 4.923 2.842 0.496
Sb 2.461 1.421 1.005